A relaxed structure of CaTm2Mg3. Source: Alexandria via LeMat-Bulk, functional GGA-PBE.

Its calculated volume is 27.9 A^3/atom. The value obtained for the formation energy is -65 meV/atom. Its total moment is 0.00 μB per formula unit.

It has space group P4/mmm (No. 123), with a = 3.787 Å, b = 3.787 Å, c = 11.674 Å, α = 90.00°, β = 90.00° and γ = 90.00°. The distinct sites, in fractional coordinates, are Ca at (0.000, 0.000, 0.000), Tm at (0.000, 0.000, 0.344), Mg at (0.500, 0.500, 0.182) and Mg at (0.500, 0.500, 0.500).